(1)
Material: Si2Tc2Sn
Method: DFT, GGA-PBE
State: optimized geometry

* M_tot: 0.000 μB per atom
* space-group type: P4/mbm (127)
* calculated volume: 155.9 Å³ per cell
* formation energy without anion corrections: -109 meV/atom

Lattice parameters (Å, degrees): 7.107 7.107 3.086 90.00 90.00 90.00
Fractional coordinates of all 10 atoms:
Sn  0.500  0.500  0.000
Sn  0.000  0.000  0.000
Si  0.636  0.864  0.500
Si  0.136  0.636  0.500
Si  0.864  0.364  0.500
Si  0.364  0.136  0.500
Tc  0.348  0.848  0.000
Tc  0.848  0.652  0.000
Tc  0.152  0.348  0.000
Tc  0.652  0.152  0.000

=====

(2)
Material: Si3TcSn
Method: DFT, GGA-PBE
State: optimized geometry

* M_tot: 0.145 μB per atom
* space-group type: Pm-3m (221)
* calculated volume: 105.0 Å³ per cell
* formation energy without anion corrections: 473 meV/atom

Lattice parameters (Å, degrees): 4.717 4.717 4.717 90.00 90.00 90.00
Fractional coordinates of all 5 atoms:
Si  0.000  0.500  0.000
Si  0.500  0.000  0.000
Si  0.000  0.000  0.500
Tc  0.000  0.000  0.000
Sn  0.500  0.500  0.500

=====

(3)
Material: Si2Tc2Sn
Method: DFT, GGA-PBE
State: optimized geometry

* M_tot: 0.000 μB per atom
* space-group type: P4/mbm (127)
* calculated volume: 154.0 Å³ per cell
* formation energy without anion corrections: 0 meV/atom

Lattice parameters (Å, degrees): 7.157 7.157 3.007 90.00 90.00 90.00
Fractional coordinates of all 10 atoms:
Tc  0.841  0.341  0.500
Tc  0.341  0.159  0.500
Tc  0.159  0.659  0.500
Tc  0.659  0.841  0.500
Sn  0.000  0.000  0.000
Sn  0.500  0.500  0.000
Si  0.128  0.372  0.000
Si  0.372  0.872  0.000
Si  0.872  0.628  0.000
Si  0.628  0.128  0.000

=====

(4)
Material: YSi2TcSn
Method: DFT, GGA-PBE
State: optimized geometry

* M_tot: 0.028 μB per atom
* space-group type: P4/mmm (123)
* calculated volume: 142.5 Å³ per cell
* formation energy without anion corrections: 1856 meV/atom

Lattice parameters (Å, degrees): 5.072 5.538 5.072 90.00 90.00 90.00
Fractional coordinates of all 5 atoms:
Si  0.500  0.000  0.000
Si  0.000  0.000  0.500
Tc  0.500  0.500  0.500
Y  0.000  0.000  0.000
Sn  0.000  0.500  0.000

=====

(5)
Material: SiSnTe3
Method: DFT, GGA-PBE
State: optimized geometry

* M_tot: 0.000 μB per atom
* space-group type: Pm-3m (221)
* calculated volume: 181.5 Å³ per cell
* formation energy without anion corrections: 849 meV/atom

Lattice parameters (Å, degrees): 5.661 5.661 5.661 90.00 90.00 90.00
Fractional coordinates of all 5 atoms:
Te  0.500  0.000  0.000
Te  0.000  0.500  0.000
Te  0.000  0.000  0.500
Sn  0.000  0.000  0.000
Si  0.500  0.500  0.500

=====

(6)
Material: SiSnTe3
Method: DFT, GGA-PBE
State: optimized geometry

* M_tot: 0.000 μB per atom
* space-group type: Pm-3m (221)
* calculated volume: 150.2 Å³ per cell
* formation energy without anion corrections: 285 meV/atom

Lattice parameters (Å, degrees): 5.315 5.315 5.315 90.00 90.00 90.00
Fractional coordinates of all 5 atoms:
Te  0.000  0.000  0.500
Te  0.000  0.500  0.000
Te  0.500  0.000  0.000
Si  0.000  0.000  0.000
Sn  0.500  0.500  0.500

=====

(7)
Material: Si2Sn2Te
Method: DFT, GGA-PBE
State: optimized geometry

* M_tot: 0.000 μB per atom
* space-group type: I4/mmm (139)
* calculated volume: 119.9 Å³ per cell
* formation energy without anion corrections: 215 meV/atom

Lattice parameters (Å, degrees): 3.742 3.742 8.958 77.94 77.94 90.00
Fractional coordinates of all 5 atoms:
Te  0.000  0.000  0.000
Sn  0.615  0.615  0.770
Sn  0.385  0.385  0.230
Si  0.250  0.750  0.500
Si  0.750  0.250  0.500

=====

(8)
Material: SiSnTe3
Method: DFT, GGA-PBE
State: optimized geometry

* M_tot: 0.000 μB per atom
* space-group type: P-1 (2)
* calculated volume: 354.4 Å³ per cell
* formation energy without anion corrections: -93 meV/atom

Lattice parameters (Å, degrees): 4.183 10.776 8.052 95.42 89.98 101.18
Fractional coordinates of all 10 atoms:
Te  0.151  0.305  0.554
Te  0.338  0.676  0.945
Te  0.510  0.006  0.255
Te  0.662  0.324  0.055
Te  0.490  0.994  0.745
Te  0.849  0.695  0.446
Si  0.575  0.151  0.525
Si  0.425  0.849  0.475
Sn  0.245  0.489  0.214
Sn  0.755  0.511  0.786

=====

(9)
Material: Si2Sn2Te
Method: DFT, GGA-PBE
State: optimized geometry

* M_tot: 0.000 μB per atom
* space-group type: I4/mmm (139)
* calculated volume: 120.7 Å³ per cell
* formation energy without anion corrections: 239 meV/atom

Lattice parameters (Å, degrees): 5.001 5.001 5.983 65.30 65.30 90.00
Fractional coordinates of all 5 atoms:
Sn  0.250  0.750  0.500
Sn  0.750  0.250  0.500
Si  0.623  0.623  0.754
Si  0.377  0.377  0.246
Te  0.000  0.000  0.000

=====

(10)
Material: Th6Si2SnTe3
Method: DFT, GGA-PBE
State: optimized geometry

* M_tot: 0.000 μB per atom
* space-group type: C2/m (12)
* calculated volume: 368.6 Å³ per cell
* formation energy without anion corrections: -908 meV/atom

Lattice parameters (Å, degrees): 4.390 8.937 9.933 103.79 102.77 90.00
Fractional coordinates of all 12 atoms:
Th  0.668  0.117  0.336
Th  0.014  0.252  0.028
Th  0.332  0.883  0.664
Th  0.986  0.748  0.972
Th  0.325  0.436  0.650
Th  0.675  0.564  0.350
Te  0.838  0.165  0.677
Te  0.162  0.835  0.323
Te  0.500  0.500  0.000
Si  0.169  0.338  0.338
Si  0.831  0.662  0.662
Sn  0.500  0.000  0.000

=====

(11)
Material: Th8Si3SnTe4
Method: DFT, GGA-PBE
State: optimized geometry

* M_tot: 0.000 μB per atom
* space-group type: R-3m (166)
* calculated volume: 488.5 Å³ per cell
* formation energy without anion corrections: -922 meV/atom

Lattice parameters (Å, degrees): 8.771 8.911 8.771 119.49 120.00 90.00
Fractional coordinates of all 16 atoms:
Th  0.752  0.282  0.505
Th  0.737  0.710  0.474
Th  0.263  0.290  0.526
Th  0.248  0.718  0.971
Th  0.752  0.282  0.029
Th  0.248  0.718  0.495
Th  0.277  0.282  0.029
Th  0.723  0.718  0.971
Te  0.000  0.000  0.000
Te  0.500  0.000  0.500
Te  0.500  0.000  0.000
Te  0.000  0.000  0.500
Si  0.500  0.500  0.000
Si  0.000  0.500  0.500
Si  0.500  0.500  0.500
Sn  0.000  0.500  0.000

=====

(12)
Material: Tl2SiSnTe5
Method: DFT, GGA-PBE
State: optimized geometry

* M_tot: 0.000 μB per atom
* space-group type: Cmc2_1 (36)
* calculated volume: 608.6 Å³ per cell
* formation energy without anion corrections: -153 meV/atom

Lattice parameters (Å, degrees): 4.049 10.755 14.230 90.00 90.00 100.85
Fractional coordinates of all 18 atoms:
Tl  0.876  0.752  0.181
Tl  0.121  0.242  0.323
Tl  0.879  0.758  0.823
Tl  0.124  0.248  0.681
Te  0.327  0.655  0.379
Te  0.497  0.994  0.768
Te  0.657  0.314  0.497
Te  0.030  0.059  0.030
Te  0.343  0.686  0.997
Te  0.290  0.580  0.688
Te  0.673  0.345  0.879
Te  0.970  0.941  0.530
Te  0.503  0.006  0.268
Te  0.710  0.420  0.188
Sn  0.209  0.417  0.037
Sn  0.791  0.583  0.537
Si  0.556  0.111  0.920
Si  0.444  0.889  0.420

=====

Question: Number 12 is which compound?
Answer: Tl2SiSnTe5

=====

Question: Which value of formation energy without anion corrections does entry 11 give?
Answer: -922 meV/atom